{
  "formula": "FeOsRh2",
  "functional": "GGA-PBE",
  "state": "optimized geometry",
  "lattice_angstrom": [[-3.3069, -0.1966, 2.7229], [-1.4771, -3.8074, 1.3078], [0.6287, -1.2682, 4.0486]],
  "species": ["Fe", "Rh", "Rh", "Os"],
  "fractional_positions": [[0.7500, 0.7500, 0.7500], [0.0000, 0.0000, 0.9999], [0.2500, 0.2500, 0.2500], [0.5000, 0.5000, 0.5001]],
  "space_group": "F-43m, No. 216",
  "total_energy_ev_per_atom": -8.281,
  "m_tot_mub_per_atom": 0.765,
  "formation_energy_ev_per_atom": 0.318
}